No. 1
A relaxed BeSb2Os crystal. Source: the Alexandria database, functional PBE.

abc: 5.838 7.464 3.292
angles: 90.00 90.33 90.00
Space group C2/m (No. 12)
Asymmetric unit:
Be 0.000 0.000 0.000 [2 per cell]
Sb 0.250 0.250 0.500 [4 per cell]
Os 0.000 0.500 0.000 [2 per cell]

- total magnetic moment (μB/f.u.) = 0.00
- VASP energy (eV per cell) = -40.69
- DOS at the Fermi energy (states/eV per atom) = 0.60

No. 2
A relaxed BeSb2Os crystal. Source: the Alexandria database, functional PBE.

abc: 6.613 6.613 6.613
angles: 90.00 90.00 90.00
Space group F-43m (No. 216)
Asymmetric unit:
Be 0.000 0.000 0.000 [4 per cell]
Sb 0.000 0.000 0.500 [4 per cell]
Sb 0.250 0.250 0.250 [4 per cell]
Os 0.250 0.250 0.750 [4 per cell]

- total magnetic moment (μB/f.u.) = 0.00
- VASP energy (eV per cell) = -78.77
- DOS at the Fermi energy (states/eV per atom) = 0.35

No. 3
A relaxed BeSb2Os crystal. Source: the Alexandria database, functional PBE.

abc: 3.172 3.172 7.263
angles: 90.00 90.00 90.00
Space group P4/mmm (No. 123)
Asymmetric unit:
Be 0.000 0.000 0.000 [1 per cell]
Sb 0.500 0.500 0.259 [2 per cell]
Os 0.000 0.000 0.500 [1 per cell]

- total magnetic moment (μB/f.u.) = 0.00
- VASP energy (eV per cell) = -20.76
- DOS at the Fermi energy (states/eV per atom) = 0.52

No. 4
A relaxed BeSb2Os crystal. Source: the Alexandria database, functional PBE.

abc: 3.267 3.795 12.835
angles: 90.00 90.00 90.00
Space group Imm2 (No. 44)
Asymmetric unit:
Be 0.000 0.000 0.000 [2 per cell]
Sb 0.000 0.000 0.457 [2 per cell]
Sb 0.000 0.500 0.223 [2 per cell]
Os 0.000 0.500 0.621 [2 per cell]

- total magnetic moment (μB/f.u.) = 0.00
- VASP energy (eV per cell) = -43.97
- DOS at the Fermi energy (states/eV per atom) = 0.37

No. 5
A relaxed BeSb2Os crystal. Source: the Alexandria database, functional PBE.

abc: 3.426 4.587 4.614
angles: 90.00 90.00 90.00
Space group Pmmm (No. 47)
Asymmetric unit:
Be 0.000 0.000 0.000 [1 per cell]
Sb 0.500 0.000 0.500 [1 per cell]
Sb 0.500 0.500 0.000 [1 per cell]
Os 0.000 0.500 0.500 [1 per cell]

- total magnetic moment (μB/f.u.) = 0.00
- VASP energy (eV per cell) = -20.14
- DOS at the Fermi energy (states/eV per atom) = 0.56

No. 6
A relaxed BeSb2Os crystal. Source: the Alexandria database, functional PBE.

abc: 4.052 3.884 9.228
angles: 90.00 90.00 90.00
Space group Amm2 (No. 38)
Asymmetric unit:
Be 0.000 0.000 0.000 [2 per cell]
Sb 0.000 0.000 0.717 [2 per cell]
Sb 0.500 0.000 0.427 [2 per cell]
Os 0.500 0.000 0.128 [2 per cell]

- total magnetic moment (μB/f.u.) = 0.00
- VASP energy (eV per cell) = -44.66
- DOS at the Fermi energy (states/eV per atom) = 0.52

No. 7
A relaxed BeSb2Os crystal. Source: the Alexandria database, functional PBE.

abc: 3.3517 3.3517 22.4752
angles: 90.00 90.00 120.00
Space group R-3m (No. 166, hexagonal axes)
Asymmetric unit:
Be 0.0000 0.0000 0.0000 [3 per cell]
Sb 0.0000 0.0000 0.2537 [6 per cell]
Os 0.0000 0.0000 0.5000 [3 per cell]

- total magnetic moment (μB/f.u.) = 0.00
- VASP energy (eV per cell) = -63.16
- DOS at the Fermi energy (states/eV per atom) = 0.48

No. 8
A relaxed Be2SbOs2 crystal. Source: the Alexandria database, functional PBE.

abc: 6.812 6.812 2.967
angles: 90.00 90.00 90.00
Space group P4/mbm (No. 127)
Asymmetric unit:
Be 0.143 0.357 0.000 [4 per cell]
Sb 0.000 0.000 0.500 [2 per cell]
Os 0.141 0.641 0.500 [4 per cell]

- total magnetic moment (μB/f.u.) = 0.00
- VASP energy (eV per cell) = -65.18
- energy above the most stable polymorph in this dataset (kcal/mol of atoms) = 0.59
- DOS at the Fermi energy (states/eV per atom) = 0.83

No. 9
A relaxed BeSb3Os crystal. Source: the Alexandria database, functional PBE.

abc: 5.156 5.156 5.156
angles: 90.00 90.00 90.00
Space group Pm-3m (No. 221)
Asymmetric unit:
Be 0.000 0.000 0.000 [1 per cell]
Sb 0.000 0.500 0.500 [3 per cell]
Os 0.500 0.500 0.500 [1 per cell]

- total magnetic moment (μB/f.u.) = 0.00
- VASP energy (eV per cell) = -21.84
- energy above the most stable polymorph in this dataset (kcal/mol of atoms) = 0.00
- DOS at the Fermi energy (states/eV per atom) = 0.81

No. 10
A relaxed BeSb3Os crystal. Source: the Alexandria database, functional PBE.

abc: 4.726 4.726 4.726
angles: 90.00 90.00 90.00
Space group Pm-3m (No. 221)
Asymmetric unit:
Be 0.000 0.000 0.000 [1 per cell]
Sb 0.000 0.000 0.500 [3 per cell]
Os 0.500 0.500 0.500 [1 per cell]

- total magnetic moment (μB/f.u.) = 0.00
- VASP energy (eV per cell) = -21.43
- energy above the most stable polymorph in this dataset (kcal/mol of atoms) = 1.91
- DOS at the Fermi energy (states/eV per atom) = 0.96

No. 11
A relaxed BeSb2Os crystal. Source: the Alexandria database, functional PBE.

abc: 4.071 4.071 8.772
angles: 90.00 90.00 90.00
Space group I-4m2 (No. 119)
Asymmetric unit:
Be 0.000 0.000 0.000 [2 per cell]
Sb 0.000 0.000 0.500 [2 per cell]
Sb 0.000 0.500 0.250 [2 per cell]
Os 0.000 0.500 0.750 [2 per cell]

- total magnetic moment (μB/f.u.) = 0.00
- VASP energy (eV per cell) = -39.86
- DOS at the Fermi energy (states/eV per atom) = 0.57

No. 12
A relaxed BeSb2Os crystal. Source: the Alexandria database, functional PBE.

abc: 7.665 3.314 6.873
angles: 90.00 108.44 90.00
Space group Cm (No. 8)
Asymmetric unit:
Be 0.000 0.000 0.000 [2 per cell]
Sb 0.031 0.500 0.729 [2 per cell]
Sb 0.185 0.500 0.270 [2 per cell]
Os 0.297 0.000 0.999 [2 per cell]

- total magnetic moment (μB/f.u.) = 0.00
- VASP energy (eV per cell) = -45.39
- DOS at the Fermi energy (states/eV per atom) = 0.30